4
Lattice="1.3088 0.7557 8.1548 -1.3088 0.7557 8.1548 0.0000 -1.5113 8.1548" Properties=species:S:1:pos:R:3 comment="BeCr2Os GGA-PBE optimized geometry" crystal_system=trigonal delta_e_f_ev_per_atom=0.25 sg=R-3m density_g_cm3=10.4 pbc="T T T"
Be 0.0000 0.0000 0.0000
Cr 0.0000 0.0000 6.2246
Cr 0.0000 0.0000 18.2398
Os 0.0000 0.0000 12.2322